Compound: DyTmPt
Source: the Alexandria database
Functional: PBE
Structure: relaxed

extended XYZ file:
```
6
Lattice="4.821 0.000 0.000 2.411 4.175 0.000 2.411 1.392 7.908" Properties=species:S:1:pos:R:3 pbc="T T T"
Tm 4.821 2.784 6.939
Dy 2.411 1.392 4.962
Tm 4.821 2.784 0.969
Pt 2.411 1.392 1.953
Pt 7.232 4.175 5.955
Dy 7.232 4.175 2.946
```

Results
- energy relative to the elements (eV/atom) = -0.899
- total DFT energy (no corrections) (eV per atom) = -5.9375
- energy above the most stable polymorph in this dataset (kJ/mol of formula units) = 0.3



Compound: DyTm5Pt6
Source: the Alexandria database
Functional: PBE
Structure: relaxed

extended XYZ file:
```
12
Lattice="4.709 -0.007 -1.322 -3.528 6.833 -3.537 -0.187 -0.989 8.404" Properties=species:S:1:pos:R:3 pbc="T T T"
Pt -0.311 2.785 -1.117
Pt 2.607 1.479 0.239
Pt -1.613 4.359 3.306
Tm -1.300 1.617 4.425
Tm -0.616 5.525 -2.206
Pt 0.181 5.684 0.644
Tm 1.610 0.312 5.751
Pt 1.305 3.052 4.662
Dy 0.000 0.000 0.000
Pt 0.813 0.153 2.901
Tm -2.415 4.226 0.441
Tm 0.497 2.919 1.772
```

Results
- energy relative to the elements (eV/atom) = -1.277
- total DFT energy (no corrections) (eV per atom) = -6.5440



Compound: DyTm4Pt2
Source: the Alexandria database
Functional: PBE
Structure: relaxed

extended XYZ file:
```
14
Lattice="-1.481 4.832 -3.741 -4.748 -4.568 -4.021 -3.664 3.599 6.099" Properties=species:S:1:pos:R:3 pbc="T T T"
Pt -4.424 3.390 -1.797
Tm -4.387 0.537 -2.812
Pt -5.185 3.631 4.101
Tm -2.613 4.944 -0.507
Tm -3.658 -1.841 -0.971
Tm -5.505 3.326 1.149
Tm -2.823 1.310 0.168
Dy -1.925 3.014 -3.271
Tm -7.280 -1.081 -1.156
Pt -5.469 0.473 0.133
Tm -7.069 2.553 -1.831
Dy -7.967 0.848 1.608
Pt -4.708 0.232 -5.764
Tm -6.234 5.704 -0.692
```

Results
- energy relative to the elements (eV/atom) = -0.735
- total DFT energy (no corrections) (eV per atom) = -5.6733



Compound: DyTm2Pt2
Source: the Alexandria database
Functional: PBE
Structure: relaxed

extended XYZ file:
```
10
Lattice="-2.834 -0.509 -2.389 1.829 -4.018 -1.313 -5.665 -6.162 10.965" Properties=species:S:1:pos:R:3 pbc="T T T"
Tm -2.428 -6.456 4.257
Dy -1.980 -5.020 0.489
Tm -6.408 -9.032 6.598
Pt -1.768 -3.020 2.741
Pt -0.513 -3.692 -1.534
Pt -4.903 -7.669 4.522
Dy -4.691 -5.669 6.774
Pt -6.157 -6.997 8.797
Tm -4.243 -4.233 3.006
Tm -0.263 -1.657 0.665
```

Results
- energy relative to the elements (eV/atom) = -1.037
- total DFT energy (no corrections) (eV per atom) = -6.1624
- energy above the most stable polymorph in this dataset (kJ/mol of formula units) = 21.7



Compound: Dy2Tm3Pt2
Source: the Alexandria database
Functional: PBE
Structure: relaxed

extended XYZ file:
```
7
Lattice="3.726 0.000 0.000 -1.863 6.057 -0.468 0.000 -3.376 8.306" Properties=species:S:1:pos:R:3 pbc="T T T"
Tm 1.863 0.000 0.000
Dy 1.863 3.452 1.249
Tm 0.000 2.756 4.329
Tm 1.863 -0.076 3.510
Pt 1.863 1.393 6.019
Pt 0.000 1.288 1.820
Dy 0.000 -0.772 6.589
```

Results
- energy relative to the elements (eV/atom) = -0.820
- total DFT energy (no corrections) (eV per atom) = -5.7772



Compound: DyTm4Pt4
Source: the Alexandria database
Functional: PBE
Structure: relaxed

extended XYZ file:
```
18
Lattice="5.651 0.000 0.000 0.000 8.960 0.000 0.000 0.000 8.960" Properties=species:S:1:pos:R:3 pbc="T T T"
Tm 2.343 2.949 8.092
Pt 5.173 2.559 7.843
Pt 5.173 6.401 1.117
Pt 0.478 1.117 2.559
Pt 2.347 3.363 1.921
Tm 2.343 6.010 0.867
Tm 0.483 7.429 3.613
Tm 3.308 0.867 2.949
Pt 3.304 1.921 5.597
Tm 3.308 8.092 6.010
Tm 0.483 1.531 5.347
Pt 2.347 5.597 7.039
Dy 2.826 4.480 4.480
Pt 3.304 7.039 3.363
Tm 5.169 5.347 7.429
Dy 0.000 0.000 0.000
Pt 0.478 7.843 6.401
Tm 5.169 3.613 1.531
```

Results
- energy relative to the elements (eV/atom) = -1.087
- total DFT energy (no corrections) (eV per atom) = -6.2705